(1)
First-principles (PBE-GGA) data for a geometry-optimized Pa3AgS6 structure, as listed in Alexandria.

Cell lengths 8.379, 8.379, 6.583 Å; angles 90.00, 90.00, 100.78 degrees
Atoms (fractional coordinates):
Pa 0.100 0.900 0.500
Pa 0.228 0.425 0.398
Pa 0.425 0.228 0.898
Pa 0.575 0.772 0.398
Pa 0.772 0.575 0.898
Pa 0.900 0.100 0.000
Ag 0.300 0.700 0.863
Ag 0.700 0.300 0.363
S 0.043 0.590 0.655
S 0.126 0.201 0.701
S 0.201 0.126 0.201
S 0.269 0.731 0.241
S 0.410 0.957 0.655
S 0.479 0.521 0.675
S 0.521 0.479 0.175
S 0.590 0.043 0.155
S 0.731 0.269 0.741
S 0.799 0.874 0.701
S 0.874 0.799 0.201
S 0.957 0.410 0.155

- SG = Cmc2_1
- crystal system = orthorhombic
- formation energy from raw total energies (eV per atom) = -1.387
- calculated density (Mg/m³) = 7.27

(2)
First-principles (PBE-GGA) data for a geometry-optimized Er2TmInN structure, as listed in Alexandria.

Cell lengths 4.764, 4.764, 4.736 Å; angles 90.00, 90.00, 90.00 degrees
Atoms (fractional coordinates):
Er 0.000 0.500 0.000
Er 0.500 0.000 0.000
Tm 0.000 0.000 0.500
In 0.500 0.500 0.500
N 0.000 0.000 0.000

- SG = P4/mmm
- crystal system = tetragonal
- formation energy from raw total energies (eV per atom) = -1.017
- calculated density (Mg/m³) = 9.77